(1)
A plane-wave DFT calculation with PBE was carried out for CaLaCr2Ge after structural relaxation.

As for the volume: 133.3 Å³/cell. The value obtained for the calculated total energy is -0.2070 hartree per atom.

The space group is P4/mmm (No. 123) and the conventional cell measures 4.961, 4.961 and 5.413 Å, with angles of 90.00, 90.00 and 90.00 degrees. Symmetry generates all atoms from Ca at (0.000, 0.000, 0.000), La at (0.500, 0.500, 0.000), Cr at (0.000, 0.500, 0.500) and Ge at (0.000, 0.000, 0.500).

---

(2)
A plane-wave DFT calculation with PBE was carried out for CaLaCr2Ge after structural relaxation.

As for the volume: 113.2 Å³/cell. The value obtained for the calculated total energy is -0.1683 hartree per atom.

The space group is P4/mmm (No. 123) and the conventional cell measures 4.497, 4.497 and 5.596 Å, with angles of 90.00, 90.00 and 90.00 degrees. Symmetry generates all atoms from Ca at (0.000, 0.000, 0.000), La at (0.000, 0.000, 0.500), Cr at (0.000, 0.500, 0.500) and Ge at (0.500, 0.500, 0.000).

---

(3)
A plane-wave DFT calculation with PBE was carried out for CaCrGe2Mo after structural relaxation.

As for the volume: 123.8 Å³/cell. The value obtained for the calculated total energy is -0.1863 hartree per atom.

The space group is P4/mmm (No. 123) and the conventional cell measures 4.892, 4.892 and 5.173 Å, with angles of 90.00, 90.00 and 90.00 degrees. Symmetry generates all atoms from Ca at (0.000, 0.000, 0.000), Cr at (0.500, 0.500, 0.000), Ge at (0.000, 0.500, 0.500) and Mo at (0.000, 0.000, 0.500).

---

> What is the volume in the first record?

133.3 Å³/cell